Li2SbPb | SCAN | PBEsol geometry

## Properties
* crystal system: tetragonal
* formation energy without anion corrections: -0.37 eV/atom
* SG: No. 119
* distance to the lowest polymorph of the same formula: 0.056 eV per atom

a b c (Å): 4.2913 4.2913 5.6691
angles (deg): 112.24 112.24 90.00
With the nearest neighbours (Å) after each atom.
Element x y z (fractional)
Li  0.0000  0.0000  0.0000  4 Pb 3.03, 4 Li 3.22, 4 Sb 3.22
Li  0.7500  0.2500  0.5000  4 Sb 3.03, 4 Li 3.22, 4 Pb 3.22
Pb  0.5000  0.5000  0.0000  8 Li 3.03-3.22, 4 Sb 3.22
Sb  0.2500  0.7500  0.5000  8 Li 3.03-3.22, 4 Pb 3.22

=====

BaPdO3 | SCAN | PBEsol geometry

## Properties
* crystal system: cubic
* formation energy without anion corrections: -1.51 eV/atom
* SG: No. 221

a b c (Å): 4.0419 4.0419 4.0419
angles (deg): 90.00 90.00 90.00
With the nearest neighbours (Å) after each atom.
Element x y z (fractional)
O  0.0000  0.5000  0.0000  2 Pd 2.02
O  0.0000  0.0000  0.5000  2 Pd 2.02
O  0.5000  0.0000  0.0000  2 Pd 2.02
Ba  0.5000  0.5000  0.5000  12 O 2.86
Pd  0.0000  0.0000  0.0000  6 O 2.02

=====

LiYCoAs2 | SCAN | PBEsol geometry

## Properties
* crystal system: tetragonal
* E_form: -0.38 eV/atom
* SG: No. 123

a b c (Å): 4.1970 4.5603 4.5603
angles (deg): 90.00 90.00 90.00
With the nearest neighbours (Å) after each atom.
Element x y z (fractional)
Y  0.5000  0.5000  0.5000  8 As 3.10, 4 Li 3.22
As  0.0000  0.0000  0.5000  2 Co 2.28
As  0.0000  0.5000  0.0000  2 Co 2.28
Co  0.0000  0.0000  0.0000  2 Li 2.10, 4 As 2.28
Li  0.5000  0.0000  0.0000  2 Co 2.10

=====

Sc2AlIn2 | SCAN | PBEsol geometry

## Properties
* crystal system: tetragonal
* E_form: 0.03 eV/atom
* SG: No. 139

a b c (Å): 3.9369 3.9369 8.1674
angles (deg): 103.95 103.95 90.00
With the nearest neighbours (Å) after each atom.
Element x y z (fractional)
Sc  0.4059  0.4059  0.8119  1 Sc 2.89, 4 In 3.10, 4 Al 3.14
Sc  0.5941  0.5941  0.1881  1 Sc 2.89, 4 In 3.10, 4 Al 3.14
Al  0.0000  0.0000  0.0000  8 Sc 3.14
In  0.2500  0.7500  0.5000  4 In 2.78, 4 Sc 3.10
In  0.7500  0.2500  0.5000  4 In 2.78, 4 Sc 3.10

=====

LiTa2P | SCAN | PBEsol geometry

## Properties
* crystal system: monoclinic
* E_form: -0.05 eV/atom
* SG: No. 8

a b c (Å): 3.1212 4.3625 5.0041
angles (deg): 112.57 108.17 90.00
With the nearest neighbours (Å) after each atom.
Element x y z (fractional)
Li  0.4660  0.4839  0.9321  2 P 2.41
P  0.7583  0.2323  0.5166  2 Li 2.41, 4 Ta 2.53-2.64
Ta  0.0302  0.0496  0.0604  2 P 2.53, 4 Li 2.71-2.77
Ta  0.2455  0.7342  0.4910  4 P 2.64-2.73, 3 Li 2.73-2.89, 4 Ta 2.86-2.94

=====

LaHfAu2O | SCAN | PBEsol geometry

## Properties
* crystal system: tetragonal
* formation energy without anion corrections: -0.36 eV/atom
* SG: No. 123

a b c (Å): 4.4136 4.7652 4.7652
angles (deg): 90.00 90.00 90.00
With the nearest neighbours (Å) after each atom.
Element x y z (fractional)
Hf  0.5000  0.5000  0.5000  8 Au 3.25, 4 La 3.37
Au  0.0000  0.0000  0.5000  2 O 2.38
Au  0.0000  0.5000  0.0000  2 O 2.38
O  0.0000  0.0000  0.0000  2 La 2.21, 4 Au 2.38
La  0.5000  0.0000  0.0000  2 O 2.21

=====

SrPbCl2 | SCAN | PBEsol geometry

## Properties
* crystal system: cubic
* formation energy without anion corrections: -0.92 eV/atom
* SG: No. 216
* distance to the lowest polymorph of the same formula: 0.451 eV per atom

a b c (Å): 5.3758 5.3758 5.3758
angles (deg): 60.00 60.00 60.00
With the nearest neighbours (Å) after each atom.
Element x y z (fractional)
Pb  0.5000  0.5000  0.5000  4 Cl 3.29, 4 Sr 3.29
Sr  0.2500  0.2500  0.2500  4 Pb 3.29, 4 Cl 3.29
Cl  0.0000  0.0000  0.0000  4 Sr 3.29, 4 Cl 3.29
Cl  0.7500  0.7500  0.7500  4 Cl 3.29, 4 Pb 3.29

=====

SnPS2Br | SCAN | PBEsol geometry

## Properties
* crystal system: tetragonal
* formation energy without anion corrections: 0.81 eV/atom
* SG: No. 123

a b c (Å): 4.8082 4.8082 5.3709
angles (deg): 90.00 90.00 90.00
With the nearest neighbours (Å) after each atom.
Element x y z (fractional)
P  0.0000  0.0000  0.5000  2 Sn 2.69
S  0.0000  0.5000  0.0000  2 Sn 2.40
S  0.5000  0.0000  0.0000  2 Sn 2.40
Sn  0.0000  0.0000  0.0000  4 S 2.40, 2 P 2.69
Br  0.5000  0.5000  0.5000  4 P 3.40, 8 S 3.60

=====

P2OsSe | SCAN | PBEsol geometry

## Properties
* crystal system: tetragonal
* formation energy without anion corrections: 0.52 eV/atom
* SG: No. 99

a b c (Å): 3.0358 3.0358 6.8102
angles (deg): 90.00 90.00 90.00
With the nearest neighbours (Å) after each atom.
Element x y z (fractional)
Os  0.5000  0.5000  0.7927  5 P 2.50-2.56, 4 Se 2.71
P  0.0000  0.0000  0.9983  4 P 2.41, 4 Os 2.56
P  0.5000  0.5000  0.1594  4 P 2.41, 1 Os 2.50
Se  0.0000  0.0000  0.5496  4 Os 2.71, 4 Se 3.04

=====

K2BaAuCl | SCAN | PBEsol geometry

## Properties
* crystal system: tetragonal
* formation energy without anion corrections: -0.25 eV/atom
* SG: No. 123

a b c (Å): 5.6693 7.7934 7.7934
angles (deg): 90.00 90.00 90.00
With the nearest neighbours (Å) after each atom.
Element x y z (fractional)
K  0.0000  0.0000  0.5000  2 Ba 3.90
K  0.0000  0.5000  0.0000  2 Ba 3.90
Au  0.5000  0.5000  0.5000  8 K 4.82
Ba  0.0000  0.0000  0.0000  2 Cl 2.83
Cl  0.5000  0.0000  0.0000  2 Ba 2.83

=====

Tm2Fe17 | SCAN | PBEsol geometry

## Properties
* crystal system: hexagonal
* E_form: 0.02 eV/atom
* SG: No. 194

a b c (Å): 8.0308 8.1323 8.1323
angles (deg): 120.00 90.00 90.00
With the nearest neighbours (Å) after each atom.
Element x y z (fractional)
Tm  0.2500  0.0000  0.0000  18 Fe 2.84-3.13
Tm  0.7500  0.0000  0.0000  18 Fe 2.84-3.13
Tm  0.7500  0.3333  0.6667  20 Fe 2.88-3.09
Tm  0.2500  0.6667  0.3333  20 Fe 2.88-3.09
Fe  0.3917  0.3333  0.6667  4 Fe 2.28-2.50
Fe  0.8917  0.6667  0.3333  4 Fe 2.28-2.50
Fe  0.6083  0.6667  0.3333  4 Fe 2.28-2.50
Fe  0.1083  0.3333  0.6667  4 Fe 2.28-2.50
Fe  0.5000  0.0000  0.5000  10 Fe 2.36-2.50
Fe  0.0000  0.5000  0.5000  10 Fe 2.36-2.50
Fe  0.0000  0.5000  0.0000  10 Fe 2.36-2.50
Fe  0.5000  0.5000  0.0000  10 Fe 2.36-2.50
Fe  0.5000  0.5000  0.5000  10 Fe 2.36-2.50
Fe  0.0000  0.0000  0.5000  10 Fe 2.36-2.50
Fe  0.2500  0.0380  0.6710  8 Fe 2.37-2.53
Fe  0.7500  0.6710  0.6330  8 Fe 2.37-2.53
Fe  0.7500  0.3670  0.0380  8 Fe 2.37-2.53
Fe  0.2500  0.6330  0.9620  8 Fe 2.37-2.53
Fe  0.2500  0.3290  0.3670  8 Fe 2.37-2.53
Fe  0.7500  0.9620  0.6330  8 Fe 2.37-2.53
Fe  0.7500  0.3670  0.3290  8 Fe 2.37-2.53
Fe  0.7500  0.9620  0.3290  8 Fe 2.37-2.53
Fe  0.7500  0.6710  0.0380  8 Fe 2.37-2.53
Fe  0.2500  0.3290  0.9620  8 Fe 2.37-2.53
Fe  0.2500  0.0380  0.3670  8 Fe 2.37-2.53
Fe  0.2500  0.6330  0.6710  8 Fe 2.37-2.53
Fe  0.5115  0.6698  0.8349  9 Fe 2.33-2.56
Fe  0.0115  0.8349  0.1651  9 Fe 2.33-2.56
Fe  0.0115  0.8349  0.6698  9 Fe 2.33-2.56
Fe  0.5115  0.1651  0.3302  9 Fe 2.33-2.56
Fe  0.5115  0.1651  0.8349  9 Fe 2.33-2.56
Fe  0.4885  0.3302  0.1651  9 Fe 2.33-2.56
Fe  0.4885  0.8349  0.1651  9 Fe 2.33-2.56
Fe  0.0115  0.3302  0.1651  9 Fe 2.33-2.56
Fe  0.4885  0.8349  0.6698  9 Fe 2.33-2.56
Fe  0.9885  0.1651  0.3302  9 Fe 2.33-2.56
Fe  0.9885  0.6698  0.8349  9 Fe 2.33-2.56
Fe  0.9885  0.1651  0.8349  9 Fe 2.33-2.56

=====

Ba5Mg3 | SCAN | PBEsol geometry

## Properties
* crystal system: orthorhombic
* E_form: 0.01 eV/atom
* SG: No. 65
* distance to the lowest polymorph of the same formula: 0.000 eV per atom

a b c (Å): 6.0586 7.6454 7.6454
angles (deg): 103.57 90.00 90.00
With the nearest neighbours (Å) after each atom.
Element x y z (fractional)
Ba  0.0000  0.0000  0.0000  8 Ba 3.82-4.06, 4 Mg 4.06
Ba  0.0000  0.0000  0.5000  6 Ba 3.82-4.28, 6 Mg 3.82-3.85
Ba  0.0000  0.5000  0.0000  6 Mg 3.82-3.85, 6 Ba 3.82-4.28
Ba  0.5000  0.2861  0.2861  6 Mg 3.64-3.87, 3 Ba 4.05-4.06
Ba  0.5000  0.7139  0.7139  6 Mg 3.64-3.87, 3 Ba 4.05-4.06
Mg  0.0000  0.5000  0.5000  8 Ba 3.64-3.82
Mg  0.5000  0.7747  0.2253  10 Ba 3.83-4.06
Mg  0.5000  0.2253  0.7747  10 Ba 3.83-4.06

=====

Number 1: total moment 0.00 μB per cell. Number 2: total moment 0.01 μB per cell. Number 3: total moment 0.00 μB per cell. Number 4: total moment 0.72 μB per cell. Number 5: total moment 0.00 μB per cell. Number 6: total moment 1.29 μB per cell. Number 7: total moment 1.94 μB per cell. Number 8: total moment 0.00 μB per cell. Number 9: total moment 0.00 μB per cell. Number 10: total moment 0.00 μB per cell. Number 11: total moment 81.39 μB per cell. Number 12: total moment 0.68 μB per cell.